No. 1
LiYSi after structural relaxation, computed with PBE-GGA.

Results
Formation energy (no corrections) ... -390 meV/atom
Distance to the lowest polymorph of the same formula ... 0.2227 eV per atom
Magnetization ... 0.0 μB/cell
Space-group type ... Imma

```
6
Lattice="-4.0760 -2.7738 2.7658 3.4658 -3.0051 2.0940 0.0421 -0.3758 5.4625" Properties=species:S:1:pos:R:3 pbc="T T T"
Si -0.2840 -3.0773 5.1611
Li 1.7329 -1.5025 1.0470
Y 0.5156 -4.6523 7.6487
Si 1.7540 -1.6904 3.7782
Y -1.0837 -1.5023 2.6736
Li 0.0000 0.0000 0.0000
```

No. 2
LiYSi after structural relaxation, computed with PBE-GGA.

Results
Formation energy (no corrections) ... -413 meV/atom
Distance to the lowest polymorph of the same formula ... 0.1999 eV per atom
Magnetization ... 0.4 μB/cell
Space-group type ... Imm2

```
6
Lattice="3.9091 0.0000 0.0000 0.0000 4.1732 0.0000 1.9545 2.0866 7.4183" Properties=species:S:1:pos:R:3 pbc="T T T"
Si 1.9546 2.0866 6.7814
Li 3.9091 4.1732 1.8062
Y 1.9545 4.1732 4.3083
Li 3.9091 2.0866 5.4417
Y 1.9545 2.0866 0.4964
Si 3.9091 2.0866 3.0265
```

No. 3
Li2YSi after structural relaxation, computed with PBE-GGA.

Results
Formation energy (no corrections) ... -233 meV/atom
Magnetization ... 0.0 μB/cell
Space-group type ... Pm

```
4
Lattice="4.3269 0.0000 0.0000 0.0000 3.4453 -0.0131 0.0000 1.7249 5.5489" Properties=species:S:1:pos:R:3 pbc="T T T"
Li 2.1634 1.9352 1.2717
Li 0.0000 0.2131 0.5472
Si 0.0000 1.9394 2.7483
Y 2.1634 3.6676 3.7365
```

No. 4
LiYSi after structural relaxation, computed with PBE-GGA.

Results
Formation energy (no corrections) ... -596 meV/atom
Distance to the lowest polymorph of the same formula ... 0.0162 eV per atom
Magnetization ... 0.0 μB/cell
Space-group type ... P6_3mc

```
6
Lattice="3.7840 -2.1847 0.0000 0.0000 4.3694 0.0000 0.0000 0.0000 7.1484" Properties=species:S:1:pos:R:3 pbc="T T T"
Si 1.2613 2.1847 4.8395
Li 2.5227 0.0000 4.8174
Y 0.0000 0.0000 6.6170
Si 2.5227 0.0000 1.2653
Li 1.2613 2.1847 1.2432
Y 0.0000 0.0000 3.0428
```

- Look up the formation energy (no corrections) of the fourth one.
  -596 meV/atom